# 1
A plane-wave DFT calculation with PBE-GGA was carried out for crystalline TaCr2In at its relaxed geometry.

Results
**Space group**: I-42d, No. 122
**V**: 17.2 Å³ per atom
**Final energy**: -59.47 eV/cell
**Formation energy**: 1.025 eV per atom

a = 5.710 Å, b = 5.710 Å, c = 5.710 Å
α = 103.49°, β = 103.49°, γ = 122.23°
Sites, in units of the cell vectors:
Ta 0.000 0.000 0.000
Ta 0.750 0.250 0.500
Cr 0.099 0.625 0.974
Cr 0.375 0.349 0.474
Cr 0.651 0.125 0.026
Cr 0.875 0.901 0.526
In 0.250 0.750 0.500
In 0.500 0.500 0.000

---

# 2
A plane-wave DFT calculation with PBE-GGA was carried out for crystalline TaCr3In at its relaxed geometry.

Results
**Space group**: Pm-3m, No. 221
**V**: 21.3 Å³ per atom
**Final energy**: -36.27 eV/cell
**Energy relative to the lowest polymorph listed for this composition**: 0.000 eV/atom
**Formation energy**: 1.438 eV per atom

a = 4.737 Å, b = 4.737 Å, c = 4.737 Å
α = 90.00°, β = 90.00°, γ = 90.00°
Sites, in units of the cell vectors:
Ta 0.000 0.000 0.000
Cr 0.000 0.000 0.500
Cr 0.000 0.500 0.000
Cr 0.500 0.000 0.000
In 0.500 0.500 0.500

---

# 3
A plane-wave DFT calculation with PBE-GGA was carried out for crystalline Ta3CrIn at its relaxed geometry.

Results
**Space group**: Pm-3m, No. 221
**V**: 20.1 Å³ per atom
**Final energy**: -43.66 eV/cell
**Energy relative to the lowest polymorph listed for this composition**: 0.000 eV/atom
**Formation energy**: 0.852 eV per atom

a = 4.652 Å, b = 4.652 Å, c = 4.652 Å
α = 90.00°, β = 90.00°, γ = 90.00°
Sites, in units of the cell vectors:
Ta 0.000 0.000 0.500
Ta 0.000 0.500 0.000
Ta 0.500 0.000 0.000
Cr 0.000 0.000 0.000
In 0.500 0.500 0.500

---

# 4
A plane-wave DFT calculation with PBE-GGA was carried out for crystalline TaCr2In at its relaxed geometry.

Results
**Space group**: P4/mmm, No. 123
**V**: 16.0 Å³ per atom
**Final energy**: -32.80 eV/cell
**Formation energy**: 0.259 eV per atom

a = 4.421 Å, b = 4.421 Å, c = 3.267 Å
α = 90.00°, β = 90.00°, γ = 90.00°
Sites, in units of the cell vectors:
Ta 0.000 0.000 0.000
Cr 0.000 0.500 0.500
Cr 0.500 0.000 0.500
In 0.500 0.500 0.000

---

# 5
A plane-wave DFT calculation with PBE-GGA was carried out for crystalline TaCr2In at its relaxed geometry.

Results
**Space group**: P4mm, No. 99
**V**: 15.8 Å³ per atom
**Final energy**: -33.11 eV/cell
**Formation energy**: 0.183 eV per atom

a = 2.944 Å, b = 2.944 Å, c = 7.304 Å
α = 90.00°, β = 90.00°, γ = 90.00°
Sites, in units of the cell vectors:
Ta 0.000 0.000 0.000
Cr 0.000 0.000 0.408
Cr 0.500 0.500 0.250
In 0.500 0.500 0.683

---

# 6
A plane-wave DFT calculation with PBE-GGA was carried out for crystalline TaCr2In at its relaxed geometry.

Results
**Space group**: I-4m2, No. 119
**V**: 16.2 Å³ per atom
**Final energy**: -32.23 eV/cell
**Formation energy**: 0.403 eV per atom

a = 5.114 Å, b = 5.114 Å, c = 5.114 Å
α = 135.57°, β = 135.57°, γ = 64.64°
Sites, in units of the cell vectors:
Ta 0.000 0.000 0.000
Cr 0.250 0.750 0.500
Cr 0.500 0.500 0.000
In 0.750 0.250 0.500

---

Question: Among the records above, which one has the lowest final energy?
Answer: number 1

---

Question: What is the formation energy in the sixth record?
Answer: 0.403 eV per atom

---

Question: The highest V belongs to which entry?
Answer: TaCr3In